Entry 1:
Tm3Mg2Sn3 | PBE-GGA | optimized geometry

## Properties
The value obtained for the calculated formation energy is -3.848 eV/f.u. Its symmetry is P6_3/mcm. For the total magnetization, the calculation gives 0.00 μB/cell. As for the total energy: -64.9 eV per cell. The density of states at the Fermi level is 0.7438 states/eV/atom.

a b c (Å): 8.7462 8.7462 6.1604
angles (deg): 90.00 90.00 120.00
Closest atoms and distances in Å follow each position.
Atoms (fractional coordinates):
Tm 0.0000 0.2454 0.2500  5 Sn 3.03-3.35
Tm 0.0000 0.7546 0.7500  5 Sn 3.03-3.35
Tm 0.2454 0.0000 0.2500  5 Sn 3.03-3.35
Tm 0.2454 0.2454 0.7500  5 Sn 3.03-3.35
Tm 0.7546 0.0000 0.7500  5 Sn 3.03-3.35
Tm 0.7546 0.7546 0.2500  5 Sn 3.03-3.35
Mg 0.3333 0.6667 0.0000  2 Mg 3.08, 6 Sn 3.09
Mg 0.3333 0.6667 0.5000  2 Mg 3.08, 6 Sn 3.09
Mg 0.6667 0.3333 0.0000  2 Mg 3.08, 6 Sn 3.09
Mg 0.6667 0.3333 0.5000  2 Mg 3.08, 6 Sn 3.09
Sn 0.0000 0.3957 0.7500  5 Tm 3.03-3.35, 4 Mg 3.09
Sn 0.0000 0.6043 0.2500  5 Tm 3.03-3.35, 4 Mg 3.09
Sn 0.3957 0.0000 0.7500  5 Tm 3.03-3.35, 4 Mg 3.09
Sn 0.3957 0.3957 0.2500  5 Tm 3.03-3.35, 4 Mg 3.09
Sn 0.6043 0.0000 0.2500  5 Tm 3.03-3.35, 4 Mg 3.09
Sn 0.6043 0.6043 0.7500  5 Tm 3.03-3.35, 4 Mg 3.09

***

Entry 2:
TmMgSn4 | PBE-GGA | optimized geometry

## Properties
The value obtained for the calculated formation energy is -1.265 eV/f.u. Its symmetry is P4/mmm. For the total magnetization, the calculation gives 0.00 μB/cell. As for the total energy: -23.3 eV per cell. The density of states at the Fermi level is 0.5792 states/eV/atom.

a b c (Å): 4.0686 4.0686 9.3299
angles (deg): 90.00 90.00 90.00
Closest atoms and distances in Å follow each position.
Atoms (fractional coordinates):
Tm 0.0000 0.0000 0.0000  10 Sn 3.14-3.29
Mg 0.5000 0.5000 0.5000  10 Sn 3.08-3.25
Sn 0.0000 0.0000 0.3368  5 Sn 3.05-3.27, 1 Tm 3.14, 4 Mg 3.25
Sn 0.0000 0.0000 0.6632  5 Sn 3.05-3.27, 1 Tm 3.14, 4 Mg 3.25
Sn 0.5000 0.5000 0.1702  1 Mg 3.08, 5 Sn 3.18-3.27, 4 Tm 3.29
Sn 0.5000 0.5000 0.8298  1 Mg 3.08, 5 Sn 3.18-3.27, 4 Tm 3.29

***

Entry 3:
TmMgSn2 | PBE-GGA | optimized geometry

## Properties
The value obtained for the calculated formation energy is -1.764 eV/f.u. Its symmetry is P4/mmm. For the total magnetization, the calculation gives 0.00 μB/cell. As for the total energy: -15.8 eV per cell. The density of states at the Fermi level is 0.3376 states/eV/atom.

a b c (Å): 4.7167 4.7167 4.3585
angles (deg): 90.00 90.00 90.00
Closest atoms and distances in Å follow each position.
Atoms (fractional coordinates):
Tm 0.0000 0.0000 0.0000  8 Sn 3.21, 4 Mg 3.34
Mg 0.5000 0.5000 0.0000  8 Sn 3.21, 4 Tm 3.34
Sn 0.0000 0.5000 0.5000  4 Mg 3.21, 4 Tm 3.21, 4 Sn 3.34
Sn 0.5000 0.0000 0.5000  4 Mg 3.21, 4 Tm 3.21, 4 Sn 3.34

***

Entry 4:
Tm4MgSn | PBE-GGA | optimized geometry

## Properties
The value obtained for the calculated formation energy is 0.004 eV/f.u. Its symmetry is Cmc2_1. For the total magnetization, the calculation gives 0.00 μB/cell. As for the total energy: -47.0 eV per cell. The density of states at the Fermi level is 1.0894 states/eV/atom.

a b c (Å): 11.8345 11.8345 6.3796
angles (deg): 90.00 90.00 154.99
Closest atoms and distances in Å follow each position.
Atoms (fractional coordinates):
Tm 0.0824 0.9176 0.5000  3 Mg 3.15-3.28, 2 Sn 3.19, 2 Tm 3.29-3.44
Tm 0.1915 0.8085 0.8660  2 Sn 3.12, 7 Tm 3.23-3.44, 1 Mg 3.29
Tm 0.2205 0.7795 0.3715  7 Tm 3.23-3.55, 3 Sn 3.25-3.33
Tm 0.3626 0.6374 0.6296  2 Sn 3.14-3.31, 2 Tm 3.31, 2 Mg 3.32
Tm 0.6374 0.3626 0.1296  2 Sn 3.14-3.31, 2 Tm 3.31, 2 Mg 3.32
Tm 0.7795 0.2205 0.8715  7 Tm 3.23-3.55, 3 Sn 3.25-3.33
Tm 0.8085 0.1915 0.3660  2 Sn 3.12, 7 Tm 3.23-3.44, 1 Mg 3.29
Tm 0.9176 0.0824 0.0000  3 Mg 3.15-3.28, 2 Sn 3.19, 2 Tm 3.29-3.44
Mg 0.0537 0.9463 0.9971  6 Tm 3.15-3.32
Mg 0.9463 0.0537 0.4971  6 Tm 3.15-3.32
Sn 0.3420 0.6580 0.1155  9 Tm 3.12-3.33
Sn 0.6580 0.3420 0.6155  9 Tm 3.12-3.33

***

Entry 5:
TmMg2Sn4 | PBE-GGA | optimized geometry

## Properties
The value obtained for the calculated formation energy is -1.846 eV/f.u. Its symmetry is Cmmm. For the total magnetization, the calculation gives 0.00 μB/cell. As for the total energy: -25.5 eV per cell. The density of states at the Fermi level is 0.3013 states/eV/atom.

a b c (Å): 6.4154 6.4154 4.4739
angles (deg): 90.00 90.00 90.98
Closest atoms and distances in Å follow each position.
Atoms (fractional coordinates):
Tm 0.0000 0.0000 0.0000  8 Sn 3.16-3.21, 4 Mg 3.44
Mg 0.2850 0.7150 0.5000  6 Sn 3.00-3.19
Mg 0.7150 0.2850 0.5000  6 Sn 3.00-3.19
Sn 0.0000 0.5000 0.0000  4 Mg 3.19, 4 Sn 3.20, 2 Tm 3.21
Sn 0.2479 0.2479 0.5000  2 Mg 3.00, 2 Tm 3.16, 4 Sn 3.20
Sn 0.5000 0.0000 0.0000  4 Mg 3.19, 4 Sn 3.20, 2 Tm 3.21
Sn 0.7521 0.7521 0.5000  2 Mg 3.00, 2 Tm 3.16, 4 Sn 3.20

***

Entry 6:
TmMgSn | PBE-GGA | optimized geometry

## Properties
The value obtained for the calculated formation energy is -1.377 eV/f.u. Its symmetry is P4/nmm. For the total magnetization, the calculation gives 0.00 μB/cell. As for the total energy: -22.9 eV per cell. The density of states at the Fermi level is 0.8810 states/eV/atom.

a b c (Å): 4.3486 4.3486 7.9352
angles (deg): 90.00 90.00 90.00
Closest atoms and distances in Å follow each position.
Atoms (fractional coordinates):
Tm 0.2500 0.2500 0.1461  5 Sn 3.07-3.17
Tm 0.7500 0.7500 0.8539  5 Sn 3.07-3.17
Mg 0.2500 0.7500 0.5000  4 Sn 2.99, 4 Mg 3.07
Mg 0.7500 0.2500 0.5000  4 Sn 2.99, 4 Mg 3.07
Sn 0.2500 0.2500 0.7586  4 Mg 2.99, 5 Tm 3.07-3.17
Sn 0.7500 0.7500 0.2414  4 Mg 2.99, 5 Tm 3.07-3.17

***

Entry 7:
Tm4MgSn5 | PBE-GGA | optimized geometry

## Properties
The value obtained for the calculated formation energy is -3.417 eV/f.u. Its symmetry is I4. For the total magnetization, the calculation gives 0.00 μB/cell. As for the total energy: -42.9 eV per cell. The density of states at the Fermi level is 0.7305 states/eV/atom.

a b c (Å): 7.3534 7.3534 7.3534
angles (deg): 100.13 100.13 130.41
Closest atoms and distances in Å follow each position.
Atoms (fractional coordinates):
Tm 0.0831 0.3097 0.3928  6 Sn 3.08-3.25
Tm 0.3097 0.9169 0.2266  6 Sn 3.08-3.25
Tm 0.6903 0.0831 0.7734  6 Sn 3.08-3.25
Tm 0.9169 0.6903 0.6072  6 Sn 3.08-3.25
Mg 0.7155 0.7155 0.0000  6 Sn 2.94-3.23
Sn 0.1920 0.1920 0.0000  2 Mg 2.94-3.23, 4 Tm 3.25
Sn 0.2313 0.6000 0.8318  1 Mg 3.02, 5 Tm 3.08-3.11, 1 Sn 3.31
Sn 0.3995 0.2313 0.6312  1 Mg 3.02, 5 Tm 3.08-3.11, 1 Sn 3.31
Sn 0.6000 0.7682 0.3688  1 Mg 3.02, 5 Tm 3.08-3.11, 1 Sn 3.31
Sn 0.7682 0.3995 0.1682  1 Mg 3.02, 5 Tm 3.08-3.11, 1 Sn 3.31

***

Entry 8:
Tm3Mg2Sn | PBE-GGA | optimized geometry

## Properties
The value obtained for the calculated formation energy is -1.727 eV/f.u. Its symmetry is Cmmm. For the total magnetization, the calculation gives 0.00 μB/cell. As for the total energy: -22.3 eV per cell. The density of states at the Fermi level is 0.9195 states/eV/atom.

a b c (Å): 7.8942 7.8942 4.2024
angles (deg): 90.00 90.00 143.73
Closest atoms and distances in Å follow each position.
Atoms (fractional coordinates):
Tm 0.0000 0.0000 0.0000  4 Sn 3.23, 4 Mg 3.33, 4 Tm 3.48
Tm 0.3356 0.6644 0.0000  6 Mg 3.23-3.24, 2 Sn 3.24, 4 Tm 3.48-3.55
Tm 0.6644 0.3356 0.0000  6 Mg 3.23-3.24, 2 Sn 3.24, 4 Tm 3.48-3.55
Mg 0.1722 0.8278 0.5000  8 Tm 3.23-3.33, 2 Mg 3.39, 2 Sn 3.57
Mg 0.8278 0.1722 0.5000  8 Tm 3.23-3.33, 2 Mg 3.39, 2 Sn 3.57
Sn 0.5000 0.5000 0.5000  8 Tm 3.23-3.24, 4 Mg 3.57

***

Entry 9:
TmMg2Sn | PBE-GGA | optimized geometry

## Properties
The value obtained for the calculated formation energy is -1.542 eV/f.u. Its symmetry is P4/mmm. For the total magnetization, the calculation gives 0.00 μB/cell. As for the total energy: -13.2 eV per cell. The density of states at the Fermi level is 0.2928 states/eV/atom.

a b c (Å): 4.4640 4.4640 4.7214
angles (deg): 90.00 90.00 90.00
Closest atoms and distances in Å follow each position.
Atoms (fractional coordinates):
Tm 0.0000 0.0000 0.0000  4 Sn 3.16, 8 Mg 3.25
Mg 0.0000 0.5000 0.5000  4 Mg 3.16, 4 Sn 3.25, 4 Tm 3.25
Mg 0.5000 0.0000 0.5000  4 Mg 3.16, 4 Sn 3.25, 4 Tm 3.25
Sn 0.5000 0.5000 0.0000  4 Tm 3.16, 8 Mg 3.25

***

Entry 10:
TmMgSn | PBE-GGA | optimized geometry

## Properties
The value obtained for the calculated formation energy is -1.231 eV/f.u. Its symmetry is P-6m2. For the total magnetization, the calculation gives 0.00 μB/cell. As for the total energy: -11.3 eV per cell. The density of states at the Fermi level is 0.4593 states/eV/atom.

a b c (Å): 4.9266 4.9266 3.4696
angles (deg): 90.00 90.00 120.00
Closest atoms and distances in Å follow each position.
Atoms (fractional coordinates):
Tm 0.0000 0.0000 0.0000  6 Sn 3.33, 6 Mg 3.33, 2 Tm 3.47
Mg 0.3333 0.6667 0.5000  3 Sn 2.84
Sn 0.6667 0.3333 0.5000  3 Mg 2.84

***

Entry 11:
TmMgSn2 | PBE-GGA | optimized geometry

## Properties
The value obtained for the calculated formation energy is -1.164 eV/f.u. Its symmetry is Fm-3m. For the total magnetization, the calculation gives 0.00 μB/cell. As for the total energy: -15.2 eV per cell. The density of states at the Fermi level is 0.3410 states/eV/atom.

a b c (Å): 5.2318 5.2318 5.2318
angles (deg): 60.00 60.00 60.00
Closest atoms and distances in Å follow each position.
Atoms (fractional coordinates):
Tm 0.0000 0.0000 0.0000  8 Sn 3.20
Mg 0.5000 0.5000 0.5000  8 Sn 3.20
Sn 0.2500 0.2500 0.2500  4 Mg 3.20, 4 Tm 3.20
Sn 0.7500 0.7500 0.7500  4 Mg 3.20, 4 Tm 3.20

***

Entry 12:
Tm5Mg2Sn4 | PBE-GGA | optimized geometry

## Properties
The value obtained for the calculated formation energy is -2.920 eV/f.u. Its symmetry is C2/m. For the total magnetization, the calculation gives 0.00 μB/cell. As for the total energy: -44.5 eV per cell. The density of states at the Fermi level is 0.9851 states/eV/atom.

a b c (Å): 10.3741 10.3741 7.4433
angles (deg): 105.26 105.26 24.36
Closest atoms and distances in Å follow each position.
Atoms (fractional coordinates):
Tm 0.0000 0.0000 0.0000  4 Sn 3.06
Tm 0.3274 0.3274 0.5522  4 Sn 3.03-3.09
Tm 0.3527 0.3527 0.0551  4 Sn 3.09-3.35, 2 Mg 3.36
Tm 0.6473 0.6473 0.9449  4 Sn 3.09-3.35, 2 Mg 3.36
Tm 0.6726 0.6726 0.4478  4 Sn 3.03-3.09
Mg 0.0719 0.0719 0.6101  3 Sn 2.80-3.04, 1 Mg 2.94
Mg 0.9281 0.9281 0.3899  3 Sn 2.80-3.04, 1 Mg 2.94
Sn 0.2148 0.2148 0.7496  1 Mg 2.80, 6 Tm 3.03-3.14
Sn 0.4824 0.4824 0.7025  4 Mg 3.04-3.17, 4 Tm 3.04-3.35, 1 Sn 3.28
Sn 0.5176 0.5176 0.2975  4 Mg 3.04-3.17, 4 Tm 3.04-3.35, 1 Sn 3.28
Sn 0.7852 0.7852 0.2504  1 Mg 2.80, 6 Tm 3.03-3.14